Entry from the Alexandria database: a relaxed structure of InAg5Au4 (GGA-PBE).

Density ... 13.07 g/cm3
Calculated volume ... 18.32 Å³/atom
Energy relative to the elements ... -0.061 eV/atom
Energy above the lowest structure with this stoichiometry ... 0.000 eV/atom

Unit cell a=7.855 b=7.855 c=5.918 alpha=101.61 beta=101.61 gamma=30.87
Element x y z (fractional)
In 0.000 0.000 0.000
Ag 0.000 0.000 0.500
Ag 0.202 0.202 0.598
Ag 0.398 0.398 0.210
Ag 0.602 0.602 0.790
Ag 0.798 0.798 0.402
Au 0.200 0.200 0.096
Au 0.400 0.400 0.702
Au 0.600 0.600 0.298
Au 0.800 0.800 0.904